Here is a relaxed NaMnAu3 crystal from the Alexandria database. Energies are from PBE-GGA.

It has space group Pm-3m (No. 221), with a = 4.875 Å, b = 4.875 Å, c = 4.875 Å, α = 90.00°, β = 90.00° and γ = 90.00°. The distinct sites, in fractional coordinates, are Na at (0.000, 0.000, 0.000), Mn at (0.500, 0.500, 0.500) and Au at (0.000, 0.500, 0.500).

The polymorph energy (0 for the lowest one) comes out at 0 meV per atom. The formation energy is 0.556 eV/atom.